DFT (PBE) results for crystalline Tb5Pm12Er2 at its relaxed geometry.

Unit cell a=9.317 b=9.317 c=8.013 alpha=92.40 beta=92.40 gamma=68.48
Element x y z (fractional)
Tb (0.000, 0.000, 0.000)
Tb (0.243, 0.243, 0.985)
Tb (0.346, 0.346, 0.411)
Tb (0.654, 0.654, 0.589)
Tb (0.757, 0.757, 0.015)
Pm (0.040, 0.583, 0.706)
Pm (0.138, 0.138, 0.610)
Pm (0.168, 0.620, 0.113)
Pm (0.380, 0.832, 0.887)
Pm (0.417, 0.960, 0.294)
Pm (0.448, 0.448, 0.790)
Pm (0.552, 0.552, 0.210)
Pm (0.583, 0.040, 0.706)
Pm (0.620, 0.168, 0.113)
Pm (0.832, 0.380, 0.887)
Pm (0.862, 0.862, 0.390)
Pm (0.960, 0.417, 0.294)
Er (0.262, 0.738, 0.500)
Er (0.738, 0.262, 0.500)

Computed properties:
space group: C2/m
ΔH_f (0 K): 0.130 eV/atom
excess energy over the best structure of this formula in the dataset: 0.0303 eV per atom

---

DFT (PBE) results for crystalline Tb2Pm3Er7 at its relaxed geometry.

Unit cell a=5.793 b=3.554 c=18.699 alpha=90.00 beta=93.12 gamma=90.00
Element x y z (fractional)
Tb (0.209, 0.000, 0.292)
Tb (0.791, 0.000, 0.708)
Pm (0.000, 0.000, 0.000)
Pm (0.278, 0.500, 0.633)
Pm (0.722, 0.500, 0.367)
Er (0.190, 0.500, 0.143)
Er (0.243, 0.000, 0.462)
Er (0.308, 0.000, 0.825)
Er (0.500, 0.500, 0.000)
Er (0.692, 0.000, 0.175)
Er (0.757, 0.000, 0.538)
Er (0.810, 0.500, 0.857)

Computed properties:
space group: P2/m
ΔH_f (0 K): 0.088 eV/atom
excess energy over the best structure of this formula in the dataset: 0.0000 eV per atom